Entry from the Alexandria database: an optimized crystal structure of SrAc2Th (PBE).

## Properties
* DFT formation energy: 1.46 eV per formula unit
* SG: R-3m
* E above lowest polymorph: 0.270 eV per atom
* density: 7.5 g cm⁻³
* magnetization: 0.00 μB/f.u.
* total DFT energy (no corrections): -3.9654 eV/atom

Unit cell a=3.7674 b=3.7674 c=14.1495 alpha=82.35 beta=82.35 gamma=60.00
Last column: nearest neighbours and their distance in Å.
Positions (direct):
Sr  0.5000  0.5000  0.5000  6 Sr 3.77, 6 Ac 4.10
Ac  0.0837  0.0837  0.7488  1 Th 3.51, 6 Ac 3.77
Ac  0.9163  0.9163  0.2512  1 Th 3.51, 6 Ac 3.77
Th  0.0000  0.0000  0.0000  2 Ac 3.51, 6 Th 3.77



Entry from the Alexandria database: an optimized crystal structure of Tm2AlGa4Cu3 (PBE).

## Properties
* DFT formation energy: -4.37 eV per formula unit
* SG: P-4m2
* density: 8.0 g cm⁻³
* magnetization: 0.00 μB/f.u.
* total DFT energy (no corrections): -4.1455 eV/atom

Unit cell a=4.0405 b=4.0405 c=10.5782 alpha=90.00 beta=90.00 gamma=90.00
Last column: nearest neighbours and their distance in Å.
Positions (direct):
Tm  0.5000  0.0000  0.2430  6 Cu 3.08-3.39, 8 Ga 3.09-3.27, 2 Al 3.39
Tm  0.0000  0.5000  0.7570  6 Cu 3.08-3.39, 8 Ga 3.09-3.27, 2 Al 3.39
Al  0.5000  0.5000  0.5000  4 Ga 2.54
Ga  0.5000  0.5000  0.0000  4 Cu 2.46
Ga  0.0000  0.0000  0.0000  4 Cu 2.46
Ga  0.5000  0.0000  0.6453  3 Cu 2.34-2.54, 2 Al 2.54
Ga  0.0000  0.5000  0.3547  3 Cu 2.34-2.54, 2 Al 2.54
Cu  0.0000  0.0000  0.5000  4 Ga 2.54
Cu  0.5000  0.0000  0.8667  5 Ga 2.34-2.46
Cu  0.0000  0.5000  0.1333  5 Ga 2.34-2.46



Entry from the Alexandria database: an optimized crystal structure of Na12Pb3Br5 (PBE).

## Properties
* SG: Ia-3d
* density: 3.0 g cm⁻³
* magnetization: 1.19 μB/f.u.
* E_form (uncorrected): -675 meV per atom
* total DFT energy (no corrections): -2.4405 eV/atom

Unit cell a=15.4846 b=15.4846 c=15.4846 alpha=109.47 beta=109.47 gamma=109.47
Last column: nearest neighbours and their distance in Å.
Positions (direct):
Pb  0.7500  0.3750  0.1250  8 Na 3.29-3.41
Pb  0.8750  0.7500  0.1250  8 Na 3.29-3.41
Pb  0.3750  0.7500  0.6250  8 Na 3.29-3.41
Pb  0.2500  0.1250  0.3750  8 Na 3.29-3.41
Pb  0.8750  0.1250  0.2500  8 Na 3.29-3.41
Pb  0.3750  0.6250  0.2500  8 Na 3.29-3.41
Pb  0.6250  0.3750  0.7500  8 Na 3.29-3.41
Pb  0.1250  0.8750  0.7500  8 Na 3.29-3.41
Pb  0.7500  0.8750  0.6250  8 Na 3.29-3.41
Pb  0.6250  0.2500  0.3750  8 Na 3.29-3.41
Pb  0.1250  0.2500  0.8750  8 Na 3.29-3.41
Pb  0.2500  0.6250  0.8750  8 Na 3.29-3.41
Br  0.1250  0.3750  0.2500  4 Na 2.83
Br  0.0000  0.5000  0.0000  6 Na 3.01
Br  0.0000  0.0000  0.0000  6 Na 3.01
Br  0.3750  0.2500  0.1250  4 Na 2.83
Br  0.5000  0.0000  0.5000  6 Na 3.01
Br  0.5000  0.5000  0.0000  6 Na 3.01
Br  0.1250  0.7500  0.3750  4 Na 2.83
Br  0.7500  0.1250  0.8750  4 Na 2.83
Br  0.7500  0.6250  0.3750  4 Na 2.83
Br  0.3750  0.1250  0.7500  4 Na 2.83
Br  0.6250  0.8750  0.2500  4 Na 2.83
Br  0.5000  0.5000  0.5000  6 Na 3.01
Br  0.5000  0.0000  0.0000  6 Na 3.01
Br  0.0000  0.0000  0.5000  6 Na 3.01
Br  0.2500  0.3750  0.6250  4 Na 2.83
Br  0.2500  0.8750  0.1250  4 Na 2.83
Br  0.0000  0.5000  0.5000  6 Na 3.01
Br  0.8750  0.2500  0.6250  4 Na 2.83
Br  0.6250  0.7500  0.8750  4 Na 2.83
Br  0.8750  0.6250  0.7500  4 Na 2.83
Na  0.7210  0.1286  0.0468  2 Br 2.83-3.01
Na  0.3258  0.5468  0.4182  2 Br 2.83-3.01
Na  0.9532  0.3714  0.2790  2 Br 2.83-3.01
Na  0.5468  0.2210  0.1286  2 Br 2.83-3.01
Na  0.5924  0.7210  0.6742  2 Br 2.83-3.01
Na  0.9532  0.5818  0.1742  2 Br 2.83-3.01
Na  0.3258  0.7790  0.4076  2 Br 2.83-3.01
Na  0.0818  0.9076  0.1286  2 Br 2.83-3.01
Na  0.5818  0.9532  0.6742  2 Br 2.83-3.01
Na  0.7210  0.5924  0.1742  2 Br 2.83-3.01
Na  0.7790  0.4532  0.3714  2 Br 2.83-3.01
Na  0.8258  0.9182  0.0468  2 Br 2.83-3.01
Na  0.1286  0.7210  0.5468  2 Br 2.83-3.01
Na  0.3714  0.4182  0.0924  2 Br 2.83-3.01
Na  0.0924  0.9182  0.3714  2 Br 2.83-3.01
Na  0.4076  0.1286  0.5818  2 Br 2.83-3.01
Na  0.0924  0.1742  0.2210  2 Br 2.83-3.01
Na  0.4532  0.6742  0.0818  2 Br 2.83-3.01
Na  0.8258  0.9076  0.2790  2 Br 2.83-3.01
Na  0.1286  0.4076  0.0818  2 Br 2.83-3.01
Na  0.3714  0.9532  0.7790  2 Br 2.83-3.01
Na  0.5818  0.6286  0.4076  2 Br 2.83-3.01
Na  0.9182  0.8258  0.5468  2 Br 2.83-3.01
Na  0.7790  0.3258  0.9076  2 Br 2.83-3.01
Na  0.4182  0.3714  0.5924  2 Br 2.83-3.01
Na  0.0818  0.1742  0.4532  2 Br 2.83-3.01
Na  0.2210  0.6742  0.0924  2 Br 2.83-3.01
Na  0.1742  0.0924  0.7210  2 Br 2.83-3.01
Na  0.6286  0.0468  0.2210  2 Br 2.83-3.01
Na  0.8714  0.5924  0.9182  2 Br 2.83-3.01
Na  0.5468  0.3258  0.9182  2 Br 2.83-3.01
Na  0.5924  0.8714  0.4182  2 Br 2.83-3.01
Na  0.9076  0.8258  0.7790  2 Br 2.83-3.01
Na  0.9076  0.0818  0.6286  2 Br 2.83-3.01
Na  0.8714  0.2790  0.4532  2 Br 2.83-3.01
Na  0.1742  0.0818  0.9532  2 Br 2.83-3.01
Na  0.6286  0.5818  0.9076  2 Br 2.83-3.01
Na  0.4182  0.0468  0.3258  2 Br 2.83-3.01
Na  0.2790  0.4076  0.8258  2 Br 2.83-3.01
Na  0.2210  0.5468  0.6286  2 Br 2.83-3.01
Na  0.9182  0.0924  0.8714  2 Br 2.83-3.01
Na  0.6742  0.2210  0.5924  2 Br 2.83-3.01
Na  0.4532  0.7790  0.8714  2 Br 2.83-3.01
Na  0.0468  0.4182  0.8258  2 Br 2.83-3.01
Na  0.4076  0.2790  0.3258  2 Br 2.83-3.01
Na  0.0468  0.6286  0.7210  2 Br 2.83-3.01
Na  0.6742  0.4532  0.5818  2 Br 2.83-3.01
Na  0.2790  0.8714  0.9532  2 Br 2.83-3.01



Entry from the Alexandria database: an optimized crystal structure of BaVGaTc2 (PBE).

## Properties
* DFT formation energy: 6.29 eV per formula unit
* SG: P4/mmm
* density: 6.7 g cm⁻³
* magnetization: 3.02 μB/f.u.
* total DFT energy (no corrections): -5.7018 eV/atom

Unit cell a=4.8341 b=4.7802 c=4.8341 alpha=90.00 beta=90.00 gamma=90.00
Last column: nearest neighbours and their distance in Å.
Positions (direct):
V  0.0000  0.5000  0.0000  2 Ga 2.39
Ba  0.5000  0.5000  0.5000  8 Tc 3.40, 4 V 3.42
Ga  0.0000  0.0000  0.0000  2 V 2.39, 4 Tc 2.42
Tc  0.0000  0.0000  0.5000  2 Ga 2.42
Tc  0.5000  0.0000  0.0000  2 Ga 2.42



Entry from the Alexandria database: an optimized crystal structure of Sm8Ni18P11 (PBE).

## Properties
* DFT formation energy: -35.24 eV per formula unit
* SG: P-6m2
* density: 7.8 g cm⁻³
* magnetization: 0.37 μB/f.u.
* total DFT energy (no corrections): -6.3936 eV/atom

Unit cell a=18.1606 b=18.1606 c=3.8904 alpha=90.00 beta=90.00 gamma=120.00
Last column: nearest neighbours and their distance in Å.
Positions (direct):
Sm  0.4765  0.5235  0.5000  6 P 2.95-2.99, 10 Ni 2.96-3.10
Sm  0.4765  0.9530  0.5000  6 P 2.95-2.99, 10 Ni 2.96-3.10
Sm  0.0470  0.5235  0.5000  6 P 2.95-2.99, 10 Ni 2.96-3.10
Sm  0.2604  0.7396  0.5000  6 P 2.96-3.01, 8 Ni 3.00-3.08
Sm  0.2604  0.5207  0.5000  6 P 2.96-3.01, 8 Ni 3.00-3.08
Sm  0.4793  0.7396  0.5000  6 P 2.96-3.01, 8 Ni 3.00-3.08
Sm  0.7796  0.2204  0.0000  12 Ni 2.92-3.16, 4 P 3.05
Sm  0.7796  0.5591  0.0000  12 Ni 2.92-3.16, 4 P 3.05
Sm  0.4409  0.2204  0.0000  12 Ni 2.92-3.16, 4 P 3.05
Sm  0.0014  0.2181  0.0000  6 P 2.95-3.01, 8 Ni 2.98-3.09
Sm  0.7819  0.7834  0.0000  6 P 2.95-3.01, 8 Ni 2.98-3.09
Sm  0.7819  0.9986  0.0000  6 P 2.95-3.01, 8 Ni 2.98-3.09
Sm  0.2166  0.9986  0.0000  6 P 2.95-3.01, 8 Ni 2.98-3.09
Sm  0.2166  0.2181  0.0000  6 P 2.95-3.01, 8 Ni 2.98-3.09
Sm  0.0014  0.7834  0.0000  6 P 2.95-3.01, 8 Ni 2.98-3.09
Sm  0.0000  0.0000  0.0000  6 P 2.99, 6 Ni 3.01
Ni  0.7103  0.2897  0.5000  8 Ni 2.38-2.52
Ni  0.7103  0.4207  0.5000  8 Ni 2.38-2.52
Ni  0.5793  0.2897  0.5000  8 Ni 2.38-2.52
Ni  0.0764  0.3705  0.5000  4 P 2.32-2.35
Ni  0.6295  0.7059  0.5000  4 P 2.32-2.35
Ni  0.6295  0.9236  0.5000  4 P 2.32-2.35
Ni  0.2941  0.9236  0.5000  4 P 2.32-2.35
Ni  0.2941  0.3705  0.5000  4 P 2.32-2.35
Ni  0.0764  0.7059  0.5000  4 P 2.32-2.35
Ni  0.3997  0.0293  0.0000  4 P 2.32-2.35
Ni  0.9707  0.3704  0.0000  4 P 2.32-2.35
Ni  0.9707  0.6003  0.0000  4 P 2.32-2.35
Ni  0.6296  0.6003  0.0000  4 P 2.32-2.35
Ni  0.6296  0.0293  0.0000  4 P 2.32-2.35
Ni  0.3997  0.3704  0.0000  4 P 2.32-2.35
Ni  0.1844  0.8156  0.0000  4 P 2.31-2.33
Ni  0.1844  0.3688  0.0000  4 P 2.31-2.33
Ni  0.6312  0.8156  0.0000  4 P 2.31-2.33
Ni  0.4056  0.5944  0.0000  3 P 2.26-2.27
Ni  0.4056  0.8111  0.0000  3 P 2.26-2.27
Ni  0.1889  0.5944  0.0000  3 P 2.26-2.27
Ni  0.0731  0.9269  0.5000  3 P 2.26-2.28
Ni  0.0731  0.1462  0.5000  3 P 2.26-2.28
Ni  0.8538  0.9269  0.5000  3 P 2.26-2.28
Ni  0.4980  0.1292  0.5000  3 P 2.22-2.36, 1 Ni 2.42
Ni  0.8708  0.3688  0.5000  3 P 2.22-2.36, 1 Ni 2.42
Ni  0.8708  0.5020  0.5000  3 P 2.22-2.36, 1 Ni 2.42
Ni  0.6312  0.5020  0.5000  3 P 2.22-2.36, 1 Ni 2.42
Ni  0.6312  0.1292  0.5000  3 P 2.22-2.36, 1 Ni 2.42
Ni  0.4980  0.3688  0.5000  3 P 2.22-2.36, 1 Ni 2.42
Ni  0.6153  0.3847  0.0000  1 P 2.15
Ni  0.6153  0.2305  0.0000  1 P 2.15
Ni  0.7695  0.3847  0.0000  1 P 2.15
Ni  0.8552  0.1448  0.5000  3 P 2.23-2.29
Ni  0.8552  0.7105  0.5000  3 P 2.23-2.29
Ni  0.2895  0.1448  0.5000  3 P 2.23-2.29
P  0.3333  0.6667  0.0000  3 Ni 2.27
P  0.1450  0.8550  0.5000  5 Ni 2.26-2.35
P  0.1450  0.2900  0.5000  5 Ni 2.26-2.35
P  0.7100  0.8550  0.5000  5 Ni 2.26-2.35
P  0.1188  0.4510  0.0000  5 Ni 2.26-2.33
P  0.5490  0.6677  0.0000  5 Ni 2.26-2.33
P  0.5490  0.8812  0.0000  5 Ni 2.26-2.33
P  0.3323  0.8812  0.0000  5 Ni 2.26-2.33
P  0.3323  0.4510  0.0000  5 Ni 2.26-2.33
P  0.1188  0.6677  0.0000  5 Ni 2.26-2.33
P  0.5468  0.4532  0.0000  7 Ni 2.15-2.36
P  0.5468  0.0936  0.0000  7 Ni 2.15-2.36
P  0.9064  0.4532  0.0000  7 Ni 2.15-2.36
P  0.3578  0.0712  0.5000  5 Ni 2.22-2.35
P  0.9288  0.2866  0.5000  5 Ni 2.22-2.35
P  0.9288  0.6422  0.5000  5 Ni 2.22-2.35
P  0.7134  0.6422  0.5000  5 Ni 2.22-2.35
P  0.7134  0.0712  0.5000  5 Ni 2.22-2.35
P  0.3578  0.2866  0.5000  5 Ni 2.22-2.35
P  0.9280  0.0720  0.5000  3 Ni 2.28-2.29
P  0.9280  0.8559  0.5000  3 Ni 2.28-2.29
P  0.1441  0.0720  0.5000  3 Ni 2.28-2.29



Entry from the Alexandria database: an optimized crystal structure of ZrIr2Os (PBE).

## Properties
* DFT formation energy: -1.38 eV per formula unit
* SG: Pmm2
* E above lowest polymorph: 0.125 eV per atom
* density: 17.4 g cm⁻³
* magnetization: 0.00 μB/f.u.
* total DFT energy (no corrections): -9.7192 eV/atom

Unit cell a=4.5512 b=2.8383 c=4.9205 alpha=89.99 beta=90.00 gamma=90.00
Last column: nearest neighbours and their distance in Å.
Positions (direct):
Ir  0.0000  0.1250  0.9630  4 Os 2.71-2.98, 4 Zr 2.80, 4 Ir 2.83-2.84
Ir  0.5000  0.1250  0.3066  4 Os 2.75, 4 Zr 2.81-2.87, 4 Ir 2.83-2.84
Os  0.0000  0.6249  0.4314  8 Ir 2.71-2.98, 2 Os 2.84, 2 Zr 2.91
Zr  0.5000  0.6251  0.7991  8 Ir 2.80-2.87, 2 Zr 2.84, 2 Os 2.91



Entry from the Alexandria database: an optimized crystal structure of CsPbIBr2 (PBE).

## Properties
* SG: P4/mmm
* density: 4.5 g cm⁻³
* magnetization: 0.00 μB/f.u.
* E_form (uncorrected): -1189 meV per atom
* total DFT energy (no corrections): -3.0801 eV/atom

Unit cell a=5.9961 b=5.9961 c=6.4054 alpha=90.00 beta=90.00 gamma=90.00
Last column: nearest neighbours and their distance in Å.
Positions (direct):
Pb  0.0000  0.0000  0.0000  4 Br 3.00, 2 I 3.20
Cs  0.5000  0.5000  0.5000  4 I 4.24, 8 Br 4.39
I  0.0000  0.0000  0.5000  2 Pb 3.20
Br  0.0000  0.5000  0.0000  2 Pb 3.00
Br  0.5000  0.0000  0.0000  2 Pb 3.00



Entry from the Alexandria database: an optimized crystal structure of K2Tc (PBE).

## Properties
* DFT formation energy: 4.18 eV per formula unit
* SG: P-62m
* E above lowest polymorph: 0.747 eV per atom
* density: 3.3 g cm⁻³
* magnetization: 1.71 μB/f.u.
* total DFT energy (no corrections): -2.7932 eV/atom

Unit cell a=10.5629 b=10.5629 c=2.7693 alpha=90.00 beta=90.00 gamma=120.00
Last column: nearest neighbours and their distance in Å.
Positions (direct):
K  0.3455  0.3455  0.0000  2 K 2.77
K  0.6545  0.0000  0.0000  2 K 2.77
K  0.0000  0.6545  0.0000  2 K 2.77
K  0.6786  0.6786  0.5000  2 K 2.77
K  0.3214  0.0000  0.5000  2 K 2.77
K  0.0000  0.3214  0.5000  2 K 2.77
Tc  0.0000  0.0000  0.0000  2 Tc 2.77
Tc  0.6667  0.3333  0.5000  2 Tc 2.77
Tc  0.3333  0.6667  0.5000  2 Tc 2.77



Entry from the Alexandria database: an optimized crystal structure of POsRu2 (PBE).

## Properties
* DFT formation energy: 1.56 eV per formula unit
* SG: P4/mmm
* density: 12.8 g cm⁻³
* magnetization: 0.92 μB/f.u.
* total DFT energy (no corrections): -8.4090 eV/atom

Unit cell a=3.7741 b=3.7741 c=3.8477 alpha=90.00 beta=90.00 gamma=90.00
Last column: nearest neighbours and their distance in Å.
Positions (direct):
P  0.0000  0.0000  0.5000  4 Os 2.67, 8 Ru 2.69
Os  0.5000  0.5000  0.5000  4 P 2.67, 8 Ru 2.69
Ru  0.0000  0.5000  0.0000  4 Ru 2.67, 4 Os 2.69, 4 P 2.69
Ru  0.5000  0.0000  0.0000  4 Ru 2.67, 4 Os 2.69, 4 P 2.69